(1)
{"formula": "NaWSeN2", "functional": "GGA-PBEsol", "state": "optimized geometry", "crystal_system": "tetragonal", "final_energy_ev_per_atom": -7.328, "formation_energy_uncorrected_ev_per_atom": -0.1058, "sg": "P4/mmm", "cell": [[3.919, 0.000, 0.000], [0.000, 3.919, 0.000], [0.000, 0.000, 5.155]], "species": ["Na", "W", "Se", "N", "N"], "frac_coords": [[0.000, 0.000, 0.000], [0.500, 0.500, 0.500], [0.500, 0.500, 0.000], [0.000, 0.500, 0.500], [0.500, 0.000, 0.500]]}

***

(2)
{"formula": "Na3Si3N5", "functional": "GGA-PBEsol", "state": "optimized geometry", "crystal_system": "triclinic", "final_energy_ev_per_atom": -6.740, "formation_energy_uncorrected_ev_per_atom": -0.9148, "sg": "P-1", "cell": [[5.332, 0.000, 0.000], [-0.914, 6.677, 0.000], [-1.064, -2.662, 7.391]], "species": ["Na", "Na", "Na", "Na", "Na", "Na", "Si", "Si", "Si", "Si", "Si", "Si", "N", "N", "N", "N", "N", "N", "N", "N", "N", "N"], "frac_coords": [[0.148, 0.335, 0.397], [0.155, 0.117, 0.719], [0.334, 0.931, 0.119], [0.666, 0.069, 0.881], [0.845, 0.883, 0.281], [0.852, 0.665, 0.603], [0.193, 0.456, 0.084], [0.399, 0.612, 0.788], [0.419, 0.818, 0.478], [0.581, 0.182, 0.522], [0.601, 0.388, 0.212], [0.807, 0.544, 0.916], [0.137, 0.551, 0.898], [0.277, 0.016, 0.425], [0.294, 0.703, 0.622], [0.335, 0.237, 0.044], [0.431, 0.610, 0.275], [0.569, 0.390, 0.725], [0.665, 0.763, 0.956], [0.706, 0.297, 0.378], [0.723, 0.984, 0.575], [0.863, 0.449, 0.102]]}

***

| no. | total moment (Bohr magnetons per cell) | theoretical density (g/cm3) |
| --- | --- | --- |
| 1 | 0.000 | 6.6 |
| 2 | 0.000 | 2.8 |